No. 1
16
Lattice="4.209 2.430 8.346 -4.209 2.430 8.346 0.000 -4.860 8.346" Properties=species:S:1:pos:R:3 comment="Cs4Ho3ScSe8 | Alexandria via LeMat-Bulk | PBE | relaxed" final_energy_ev_per_atom=-4.8892 total_magnetization_mub_per_cell=0.00 dos_at_fermi_per_ev_fu=0.0 raw_formation_energy_kj_per_mol_atoms=-162 sg="No. 166" pbc="T T T"
Cs 0.000 0.000 0.000
Cs -2.104 -1.215 8.346
Cs -2.104 1.215 16.692
Cs 0.000 2.430 8.346
Ho -4.209 0.000 12.519
Ho -2.104 1.215 4.173
Ho 2.104 1.215 4.173
Sc 0.000 0.000 12.519
Se 0.000 0.000 5.725
Se -2.045 -1.181 14.035
Se 0.000 -2.362 11.003
Se -2.045 1.181 11.003
Se 2.045 -1.181 14.035
Se 0.000 2.362 14.035
Se 2.045 1.181 11.003
Se 0.000 0.000 19.313

No. 2
15
Lattice="4.122 2.380 8.578 -4.122 2.380 8.578 0.000 -4.760 8.578" Properties=species:S:1:pos:R:3 comment="Cs3Ho3ScSe8 | Alexandria via LeMat-Bulk | PBE | relaxed" final_energy_ev_per_atom=-4.9987 total_magnetization_mub_per_cell=0.00 dos_at_fermi_per_ev_fu=9.3 raw_formation_energy_kj_per_mol_atoms=-157 sg="No. 166" pbc="T T T"
Cs -2.061 -1.190 8.578
Cs -2.061 1.190 17.155
Cs 0.000 2.380 8.578
Ho -4.122 0.000 12.867
Ho -2.061 1.190 4.289
Ho 2.061 1.190 4.289
Sc 0.000 0.000 12.867
Se 0.000 0.000 5.882
Se -1.998 -1.153 14.407
Se 0.000 -2.307 11.327
Se -1.998 1.154 11.327
Se 1.998 -1.154 14.407
Se 0.000 2.307 14.407
Se 1.998 1.154 11.327
Se 0.000 0.000 19.851

No. 3
22
Lattice="2.072 -6.896 0.000 2.072 6.896 0.000 0.000 0.000 22.071" Properties=species:S:1:pos:R:3 comment="CsHo4Se6 | Alexandria via LeMat-Bulk | PBE | relaxed" final_energy_ev_per_atom=-5.3910 total_magnetization_mub_per_cell=0.00 dos_at_fermi_per_ev_fu=2.1 raw_formation_energy_kj_per_mol_atoms=-169 sg="No. 63" pbc="T T T"
Cs 2.072 4.736 16.553
Cs 2.072 -4.736 5.518
Ho 2.072 5.549 2.885
Ho 2.072 5.549 8.151
Ho 2.072 1.819 0.854
Ho 2.072 1.819 10.181
Ho 2.072 -1.819 11.890
Ho 2.072 -1.819 21.217
Ho 2.072 -5.549 13.920
Ho 2.072 -5.549 19.186
Se 0.000 0.000 0.000
Se 0.000 0.000 11.035
Se 2.072 4.949 5.518
Se 2.072 3.173 12.793
Se 2.072 3.173 20.313
Se 2.072 0.483 3.246
Se 2.072 0.483 7.789
Se 2.072 -0.483 14.281
Se 2.072 -0.483 18.825
Se 2.072 -3.173 1.757
Se 2.072 -3.173 9.278
Se 2.072 -4.949 16.553

No. 4
12
Lattice="7.760 0.000 0.000 0.000 4.143 0.000 -2.632 0.000 10.856" Properties=species:S:1:pos:R:3 comment="CsHo2Se3 | Alexandria via LeMat-Bulk | PBE | relaxed" final_energy_ev_per_atom=-4.9861 total_magnetization_mub_per_cell=0.00 de_polymorph_mev_per_atom=0 dos_at_fermi_per_ev_fu=2.2 raw_formation_energy_kj_per_mol_atoms=-152 sg="No. 11" pbc="T T T"
Cs -0.685 1.036 3.725
Cs 5.813 3.107 7.131
Ho -0.582 1.036 10.787
Ho 3.040 3.107 3.420
Ho 2.088 1.036 7.436
Ho 5.710 3.107 0.069
Se 0.815 3.107 1.459
Se 1.187 3.107 5.711
Se 0.810 3.107 9.208
Se 4.318 1.036 1.648
Se 3.941 1.036 5.145
Se 4.312 1.036 9.397